Ga2WF | PBE+U | optimized geometry

Lattice parameters (Å, degrees): 6.773 6.773 5.399 90.00 90.00 90.00
Space group I-42d (No. 122)
Asymmetric unit:
Ga 0.206 0.250 0.125 x8
W 0.000 0.000 0.500 x4
F 0.000 0.000 0.000 x4

Results
For the energy relative to the lowest polymorph listed for this composition, the calculation gives 1.56 kcal/mol of atoms. The density of states at the Fermi level is 0.190 states/eV/atom.